# 1
DFT (GGA-PBE) results for CsSiTeHSe after structural relaxation.

Summary:
The space-group type is No. 1. As for the polymorph energy (0 for the lowest one): 0.1950 eV per atom.

abc: 4.010 6.216 6.874
angles: 104.65 105.73 91.18
Fractional positions:
Cs 0.261 0.054 0.394
Si 0.504 0.683 0.922
Te 0.878 0.624 0.645
H 0.847 0.322 0.068
Se 0.464 0.304 0.966

# 2
DFT (GGA-PBE) results for Ac2Si2Ge after structural relaxation.

Summary:
The space-group type is No. 12. As for the polymorph energy (0 for the lowest one): 0.0000 eV per atom.

abc: 4.555 6.224 10.424
angles: 80.37 77.38 68.53
Fractional positions:
Ac 0.709 0.223 0.359
Ac 0.895 0.308 0.902
Ac 0.291 0.777 0.641
Ac 0.105 0.692 0.098
Si 0.022 0.363 0.594
Si 0.609 0.889 0.893
Si 0.978 0.637 0.406
Si 0.391 0.111 0.107
Ge 0.559 0.192 0.689
Ge 0.441 0.808 0.311